Material: CsMnRu2
Method: DFT, PBE
State: relaxed

a = 7.193 Å, b = 7.193 Å, c = 6.167 Å
α = 54.33°, β = 54.33°, γ = 90.00°
Sites, in units of the cell vectors:
Mn1 0.250 0.750 0.500
Mn2 0.500 0.500 0.000
Ru1 0.375 0.480 0.750
Ru2 0.520 0.125 0.250
Ru3 0.230 0.625 0.250
Ru4 0.875 0.770 0.750
Cs1 0.000 0.000 0.000
Cs2 0.750 0.250 0.500

Summary:
symmetry: No. 122
energy of formation from the pure elements: 1.487 eV/atom
spin magnetization: 0.00 μB/cell

=====

Material: CsMnRu2Se
Method: DFT, PBE
State: relaxed

a = 4.559 Å, b = 5.527 Å, c = 4.559 Å
α = 90.00°, β = 90.00°, γ = 90.00°
Each line ends with the local moment (μB).
Sites, in units of the cell vectors:
Se1 0.500 0.500 0.500  0.11
Cs1 0.000 0.500 0.000  0.01
Mn1 0.000 0.000 0.000  0.24
Ru1 0.500 0.000 0.000  0.74
Ru2 0.000 0.000 0.500  0.80

Summary:
symmetry: No. 123
raw formation energy: 1.457 eV per atom
spin magnetization: 2.06 μB/cell

=====

Material: CsMn2RuW
Method: DFT, PBE
State: relaxed

a = 4.933 Å, b = 5.472 Å, c = 4.933 Å
α = 90.00°, β = 90.00°, γ = 90.00°
Each line ends with the local moment (μB).
Sites, in units of the cell vectors:
Mn1 0.500 0.000 0.000  4.10
Mn2 0.000 0.000 0.500  3.88
W1 0.500 0.500 0.500  3.11
Cs1 0.000 0.500 0.000  0.08
Ru1 0.000 0.000 0.000  0.30

Summary:
symmetry: No. 123
energy of formation from the pure elements: 2.341 eV/atom
spin magnetization: 13.27 μB/cell

=====

Material: Cs4MnS4
Method: DFT, PBE
State: relaxed

a = 7.178 Å, b = 9.694 Å, c = 9.694 Å
α = 90.00°, β = 90.00°, γ = 90.00°
Each line ends with the local moment (μB).
Sites, in units of the cell vectors:
Cs1 0.654 0.000 0.723  0.01
Cs2 0.846 0.500 0.777  0.01
Cs3 0.846 0.500 0.223  0.01
Cs4 0.654 0.000 0.277  0.01
Cs5 0.346 0.277 0.000  0.01
Cs6 0.346 0.723 0.000  0.01
Cs7 0.154 0.777 0.500  0.01
Cs8 0.154 0.223 0.500  0.01
S1 0.161 0.000 0.806  -0.02
S2 0.661 0.306 0.500  -0.02
S3 0.839 0.194 0.000  -0.02
S4 0.661 0.694 0.500  -0.02
S5 0.839 0.806 0.000  -0.02
S6 0.339 0.500 0.694  -0.02
S7 0.161 0.000 0.194  -0.02
S8 0.339 0.500 0.306  -0.02
Mn1 0.000 0.000 0.000  2.69
Mn2 0.500 0.500 0.500  2.69

Summary:
symmetry: No. 137
energy relative to the lowest polymorph listed for this composition: 0.00 eV/f.u.
raw formation energy: -0.977 eV per atom
spin magnetization: 6.00 μB/cell

=====

Material: Cs3MnS3
Method: DFT, PBE
State: relaxed

a = 8.087 Å, b = 9.579 Å, c = 13.323 Å
α = 96.23°, β = 90.00°, γ = 90.00°
Each line ends with the local moment (μB).
Sites, in units of the cell vectors:
Cs1 0.801 0.336 0.292  0.01
Cs2 0.715 0.615 0.571  0.01
Cs3 0.199 0.664 0.708  0.01
Cs4 0.638 0.942 0.362  0.00
Cs5 0.215 0.385 0.929  0.01
Cs6 0.285 0.385 0.429  0.01
Cs7 0.362 0.058 0.638  0.00
Cs8 0.138 0.058 0.138  0.00
Cs9 0.785 0.615 0.071  0.01
Cs10 0.862 0.942 0.862  0.00
Cs11 0.301 0.664 0.208  0.01
Cs12 0.699 0.336 0.792  0.01
Mn1 0.075 0.844 0.450  3.48
Mn2 0.575 0.156 0.050  3.48
Mn3 0.425 0.844 0.950  3.48
Mn4 0.925 0.156 0.550  3.48
S1 0.563 0.929 0.097  -0.04
S2 0.061 0.324 0.653  0.03
S3 0.937 0.929 0.597  -0.04
S4 0.832 0.248 0.026  0.03
S5 0.332 0.752 0.474  0.03
S6 0.063 0.071 0.403  -0.04
S7 0.561 0.676 0.847  0.03
S8 0.668 0.248 0.526  0.03
S9 0.437 0.071 0.903  -0.04
S10 0.168 0.752 0.974  0.03
S11 0.439 0.324 0.153  0.03
S12 0.939 0.676 0.347  0.03

Summary:
symmetry: No. 14
raw formation energy: -0.982 eV per atom
spin magnetization: 16.00 μB/cell

=====

Material: CsMnS3
Method: DFT, PBE
State: relaxed

a = 5.390 Å, b = 5.390 Å, c = 5.390 Å
α = 90.00°, β = 90.00°, γ = 90.00°
Each line ends with the local moment (μB).
Sites, in units of the cell vectors:
Cs1 0.000 0.000 0.000  -0.02
S1 0.000 0.500 0.000  -0.06
S2 0.000 0.000 0.500  -0.03
S3 0.500 0.000 0.000  -0.02
Mn1 0.500 0.500 0.500  4.58

Summary:
symmetry: No. 221
raw formation energy: 1.414 eV per atom
spin magnetization: 4.82 μB/cell

=====

- Which of these has the lowest spin magnetization?
  CsMnRu2